This record from Alexandria describes a geometry-optimized Sr3Bi5O12 structure. The functional is GGA-PBE.

Calculated values
E_form (uncorrected) = -1616 meV/atom
Symmetry = Ia-3d, No. 230

Lattice parameters (Å, degrees): 12.330 12.330 12.330 109.47 109.47 109.47
Element x y z (fractional)
Sr  0.125  0.250  0.375
Sr  0.125  0.375  0.750
Sr  0.250  0.375  0.125
Sr  0.250  0.875  0.625
Sr  0.375  0.125  0.250
Sr  0.375  0.750  0.125
Sr  0.625  0.250  0.875
Sr  0.625  0.875  0.750
Sr  0.750  0.125  0.375
Sr  0.750  0.625  0.875
Sr  0.875  0.625  0.250
Sr  0.875  0.750  0.625
Bi  0.000  0.000  0.000
Bi  0.000  0.000  0.500
Bi  0.000  0.500  0.000
Bi  0.000  0.500  0.500
Bi  0.125  0.750  0.875
Bi  0.125  0.875  0.250
Bi  0.250  0.125  0.875
Bi  0.250  0.625  0.375
Bi  0.375  0.250  0.625
Bi  0.375  0.625  0.750
Bi  0.500  0.000  0.000
Bi  0.500  0.000  0.500
Bi  0.500  0.500  0.000
Bi  0.500  0.500  0.500
Bi  0.625  0.375  0.250
Bi  0.625  0.750  0.375
Bi  0.750  0.375  0.625
Bi  0.750  0.875  0.125
Bi  0.875  0.125  0.750
Bi  0.875  0.250  0.125
O  0.031  0.205  0.124
O  0.031  0.326  0.907
O  0.081  0.705  0.674
O  0.081  0.876  0.407
O  0.093  0.624  0.419
O  0.093  0.969  0.674
O  0.124  0.031  0.205
O  0.124  0.593  0.919
O  0.174  0.205  0.581
O  0.174  0.469  0.593
O  0.205  0.124  0.031
O  0.205  0.581  0.174
O  0.295  0.326  0.919
O  0.295  0.469  0.376
O  0.326  0.907  0.031
O  0.326  0.919  0.295
O  0.376  0.295  0.469
O  0.376  0.581  0.907
O  0.407  0.081  0.876
O  0.407  0.826  0.531
O  0.419  0.093  0.624
O  0.419  0.826  0.795
O  0.469  0.376  0.295
O  0.469  0.593  0.174
O  0.531  0.407  0.826
O  0.531  0.624  0.705
O  0.581  0.174  0.205
O  0.581  0.907  0.376
O  0.593  0.174  0.469
O  0.593  0.919  0.124
O  0.624  0.419  0.093
O  0.624  0.705  0.531
O  0.674  0.081  0.705
O  0.674  0.093  0.969
O  0.705  0.531  0.624
O  0.705  0.674  0.081
O  0.795  0.419  0.826
O  0.795  0.876  0.969
O  0.826  0.531  0.407
O  0.826  0.795  0.419
O  0.876  0.407  0.081
O  0.876  0.969  0.795
O  0.907  0.031  0.326
O  0.907  0.376  0.581
O  0.919  0.124  0.593
O  0.919  0.295  0.326
O  0.969  0.674  0.093
O  0.969  0.795  0.876


This record from Alexandria describes a geometry-optimized Sc4Rh3 structure. The functional is GGA-PBE.

Calculated values
Symmetry = R-3m, No. 166
ΔH_f (0 K) = -0.8588 eV per atom

Lattice parameters (Å, degrees): 7.879 7.879 7.879 33.40 33.40 33.40
Element x y z (fractional)
Sc  0.122  0.122  0.122
Sc  0.374  0.374  0.374
Sc  0.626  0.626  0.626
Sc  0.878  0.878  0.878
Rh  0.249  0.249  0.249
Rh  0.500  0.500  0.500
Rh  0.751  0.751  0.751


This record from Alexandria describes a geometry-optimized SnIrSe2N structure. The functional is GGA-PBE.

Calculated values
E_form (uncorrected) = 172 meV/atom
Symmetry = P4/mmm, No. 123

Lattice parameters (Å, degrees): 5.233 5.233 3.697 90.00 90.00 90.00
Element x y z (fractional)
Sn  0.000  0.000  0.000
Ir  0.500  0.500  0.500
Se  0.000  0.500  0.500
Se  0.500  0.000  0.500
N  0.500  0.500  0.000


This record from Alexandria describes a geometry-optimized LiHfAsBr2 structure. The functional is GGA-PBE.

Calculated values
E_form (uncorrected) = -3 meV/atom
Symmetry = P4/mmm, No. 123

Lattice parameters (Å, degrees): 4.490 4.490 5.463 90.00 90.00 90.00
Element x y z (fractional)
Li  0.000  0.000  0.000
Hf  0.500  0.500  0.500
As  0.000  0.000  0.500
Br  0.000  0.500  0.000
Br  0.500  0.000  0.000


This record from Alexandria describes a geometry-optimized HgC2 structure. The functional is GGA-PBE.

Calculated values
Symmetry = P6_3/mmc, No. 194
ΔH_f (0 K) = 1.7929 eV per atom

Lattice parameters (Å, degrees): 3.512 3.512 8.339 90.00 90.00 120.00
Element x y z (fractional)
Hg  0.333  0.667  0.250
Hg  0.667  0.333  0.750
C  0.000  0.000  0.076
C  0.000  0.000  0.424
C  0.000  0.000  0.576
C  0.000  0.000  0.924


This record from Alexandria describes a geometry-optimized Pr4GeAsBr2 structure. The functional is GGA-PBE.

Calculated values
E_form (uncorrected) = -1305 meV/atom
Symmetry = P2/m, No. 10

Lattice parameters (Å, degrees): 7.467 4.318 7.780 90.00 108.67 90.00
Element x y z (fractional)
Pr  0.236  0.000  0.212
Pr  0.262  0.500  0.790
Pr  0.738  0.500  0.210
Pr  0.764  0.000  0.788
Ge  0.000  0.500  0.000
As  0.500  0.000  0.000
Br  0.000  0.000  0.500
Br  0.500  0.500  0.500


This record from Alexandria describes a geometry-optimized Ho2PaNi structure. The functional is GGA-PBE.

Calculated values
Symmetry = R-3m, No. 166
ΔH_f (0 K) = 0.2088 eV per atom

Lattice parameters (Å, degrees): 10.544 10.544 10.544 18.04 18.04 18.04
Element x y z (fractional)
Ho  0.105  0.105  0.105
Ho  0.895  0.895  0.895
Pa  0.000  0.000  0.000
Ni  0.500  0.500  0.500


This record from Alexandria describes a geometry-optimized Ba2YRu structure. The functional is GGA-PBE.

Calculated values
Symmetry = Immm, No. 71
ΔH_f (0 K) = 0.1617 eV per atom

Lattice parameters (Å, degrees): 9.638 9.638 9.638 158.47 152.18 35.45
Element x y z (fractional)
Ba  0.150  0.150  0.000
Ba  0.850  0.850  0.000
Y  0.500  0.000  0.500
Ru  0.000  0.500  0.500


no.,DOS(E_F) (states/eV/cell)
1,20.596
2,4.139
3,2.791
4,1.808
5,3.036
6,3.546
7,4.608
8,4.177